Model A:
Compound: LiZn2Pd
Source: the Alexandria database
Functional: PBE-GGA
Structure: optimized geometry

a = 3.208 Å, b = 3.208 Å, c = 5.611 Å
α = 90.00°, β = 90.00°, γ = 90.00°
Positions (direct):
Zn 0.000 0.000 0.249
Zn 0.000 0.000 0.751
Pd 0.500 0.500 0.000
Li 0.500 0.500 0.500

Results
size of the total moment: 0.00 μB/f.u.
volume: 58 Å³/cell
DOS(E_F): 0.7 states/eV/cell

=====

Model B:
Compound: LiZn2Pd
Source: the Alexandria database
Functional: PBE-GGA
Structure: optimized geometry

a = 3.647 Å, b = 3.940 Å, c = 3.940 Å
α = 90.00°, β = 90.00°, γ = 90.00°
Positions (direct):
Li 0.500 0.500 0.500
Pd 0.500 0.000 0.000
Zn 0.000 0.500 0.000
Zn 0.000 0.000 0.500

Results
size of the total moment: 0.00 μB/f.u.
volume: 57 Å³/cell
DOS(E_F): 1.4 states/eV/cell

=====

Bottom line: model B, by a margin of 33 meV per atom.